Entry 1:
First-principles (PBE-GGA) data for a geometry-optimized CsLiPu2F8 structure, as listed in the Alexandria database.

Geometry as POSCAR:
```
CsLiPu2F8
1.0
4.494 0.011 0.217
0.089 6.609 -0.397
0.239 -0.366 7.695
F Pu Li Cs
8 2 1 1
direct
0.387 0.308 0.971
0.819 0.156 0.182
0.181 0.844 0.818
0.531 0.698 0.502
0.469 0.302 0.498
0.613 0.692 0.029
0.061 0.562 0.265
0.939 0.438 0.735
0.568 0.467 0.239
0.432 0.533 0.761
0.000 0.000 0.000
0.000 0.000 0.500
```

Results
space group: P-1

---

Entry 2:
First-principles (PBE-GGA) data for a geometry-optimized CsRbLi2F4 structure, as listed in the Alexandria database.

Geometry as POSCAR:
```
CsRbLi2F4
1.0
-3.017 -0.732 2.696
2.793 -0.830 2.900
0.057 8.045 2.249
F Rb Cs Li
4 1 1 2
direct
0.000 0.500 0.236
0.500 0.000 0.764
0.500 0.000 0.236
0.000 0.500 0.764
0.000 0.000 0.000
0.000 0.000 0.500
0.500 0.500 0.235
0.500 0.500 0.765
```

Results
space group: P4/mmm

---

Entry 3:
First-principles (PBE-GGA) data for a geometry-optimized CsRbLiF3 structure, as listed in the Alexandria database.

Geometry as POSCAR:
```
CsRbLiF3
1.0
-1.422 -2.105 3.431
5.344 -4.445 -3.169
4.062 5.157 4.848
Li F Cs Rb
2 6 2 2
direct
0.001 0.003 0.266
0.999 0.997 0.734
0.136 0.273 0.805
0.499 0.998 0.735
0.501 0.002 0.265
0.140 0.280 0.332
0.860 0.720 0.668
0.864 0.727 0.195
0.352 0.704 0.924
0.648 0.296 0.076
0.351 0.703 0.427
0.649 0.297 0.573
```

Results
space group: C2/m

---

Entry 4:
First-principles (PBE-GGA) data for a geometry-optimized CsRb2LiF4 structure, as listed in the Alexandria database.

Geometry as POSCAR:
```
CsRb2LiF4
1.0
3.870 0.000 0.000
-1.935 6.600 0.000
0.000 0.000 13.572
F Cs Li Rb
8 2 2 4
direct
0.393 0.785 0.750
0.265 0.531 0.363
0.607 0.215 0.250
0.265 0.531 0.137
0.735 0.469 0.863
0.000 0.000 0.000
0.000 0.000 0.500
0.735 0.469 0.637
0.904 0.808 0.250
0.096 0.192 0.750
0.182 0.364 0.250
0.818 0.636 0.750
0.364 0.727 0.548
0.636 0.273 0.048
0.364 0.727 0.952
0.636 0.273 0.452
```

Results
space group: Cmcm

---

Entry 5:
First-principles (PBE-GGA) data for a geometry-optimized CsRb2LiF structure, as listed in the Alexandria database.

Geometry as POSCAR:
```
CsRb2LiF
1.0
8.101 0.000 0.000
0.000 5.154 0.000
0.000 0.000 8.101
Cs Rb F Li
1 2 1 1
direct
0.000 0.000 0.000
0.000 0.000 0.500
0.500 0.000 0.000
0.000 0.500 0.000
0.500 0.500 0.500
```

Results
polymorph energy (0 for the lowest one): 27.8 kJ/mol of atoms
space group: P4/mmm

---

Entry 6:
First-principles (PBE-GGA) data for a geometry-optimized Cs2RbLiF structure, as listed in the Alexandria database.

Geometry as POSCAR:
```
Cs2RbLiF
1.0
-1.912 -1.773 5.702
0.189 -6.002 -1.803
5.778 -0.366 1.824
Cs Rb Li F
2 1 1 1
direct
0.500 0.000 0.000
0.000 0.500 0.000
0.000 0.000 0.500
0.500 0.500 0.500
0.000 0.000 0.000
```

Results
space group: P4/mmm

---

Entry 7:
First-principles (PBE-GGA) data for a geometry-optimized CsRb2LiF structure, as listed in the Alexandria database.

Geometry as POSCAR:
```
CsRb2LiF
1.0
-3.638 -4.730 -0.615
2.086 -0.882 -5.554
4.496 -3.756 2.286
Li Cs F Rb
1 1 1 2
direct
0.500 0.500 0.500
0.000 0.000 0.500
0.000 0.000 0.000
0.000 0.500 0.000
0.500 0.000 0.000
```

Results
polymorph energy (0 for the lowest one): 0.0 kJ/mol of atoms
space group: P4/mmm

---

Entry 8:
First-principles (PBE-GGA) data for a geometry-optimized Cs2LiReF6 structure, as listed in the Alexandria database.

Geometry as POSCAR:
```
Cs2LiReF6
1.0
-1.854 -0.293 -5.802
-1.308 -5.913 0.716
-5.782 -2.018 -1.255
F Cs Re Li
6 2 1 1
direct
0.754 0.754 0.000
0.776 0.776 0.448
0.246 0.754 0.000
0.246 0.246 0.000
0.754 0.246 0.000
0.224 0.224 0.552
0.250 0.750 0.500
0.750 0.250 0.500
0.000 0.000 0.000
0.500 0.500 0.000
```

Results
space group: I4/mmm

---

Entry 9:
First-principles (PBE-GGA) data for a geometry-optimized Cs2Li3RhF12 structure, as listed in the Alexandria database.

Geometry as POSCAR:
```
Cs2Li3RhF12
1.0
7.694 0.317 0.225
4.075 6.534 0.225
4.075 2.372 6.092
F Li Rh Cs
12 3 1 2
direct
0.318 0.318 0.929
0.072 0.692 0.072
0.929 0.318 0.318
0.928 0.928 0.308
0.071 0.682 0.682
0.928 0.308 0.928
0.308 0.928 0.928
0.318 0.929 0.318
0.692 0.072 0.072
0.682 0.071 0.682
0.682 0.682 0.071
0.072 0.072 0.692
0.000 0.500 0.000
0.000 0.000 0.500
0.500 0.000 0.000
0.000 0.000 0.000
0.395 0.395 0.395
0.605 0.605 0.605
```

Results
space group: R-3m

---

Entry 10:
First-principles (PBE-GGA) data for a geometry-optimized Cs2LiRh3F12 structure, as listed in the Alexandria database.

Geometry as POSCAR:
```
Cs2LiRh3F12
1.0
7.532 0.109 0.077
3.814 6.496 0.077
3.814 2.220 6.105
F Rh Cs Li
12 3 2 1
direct
0.673 0.081 0.673
0.073 0.073 0.668
0.081 0.673 0.673
0.673 0.673 0.081
0.327 0.327 0.919
0.927 0.927 0.332
0.327 0.919 0.327
0.332 0.927 0.927
0.073 0.668 0.073
0.668 0.073 0.073
0.927 0.332 0.927
0.919 0.327 0.327
0.000 0.000 0.500
0.500 0.000 0.000
0.000 0.500 0.000
0.365 0.365 0.365
0.635 0.635 0.635
0.000 0.000 0.000
```

Results
space group: R-3m

---

Entry 11:
First-principles (PBE-GGA) data for a geometry-optimized Cs2LiSF6 structure, as listed in the Alexandria database.

Geometry as POSCAR:
```
Cs2LiSF6
1.0
6.158 0.000 0.000
0.000 6.158 0.000
3.079 3.079 4.552
Li F Cs S
1 6 2 1
direct
0.500 0.500 0.000
0.801 0.801 0.397
0.740 0.260 0.000
0.740 0.740 0.000
0.199 0.199 0.603
0.260 0.260 0.000
0.260 0.740 0.000
0.750 0.250 0.500
0.250 0.750 0.500
0.000 0.000 0.000
```

Results
space group: I4/mmm

---

Entry 12:
First-principles (PBE-GGA) data for a geometry-optimized CsLi2SbF8 structure, as listed in the Alexandria database.

Geometry as POSCAR:
```
CsLi2SbF8
1.0
5.364 0.000 0.000
2.682 4.646 0.000
2.682 1.549 7.642
F Li Sb Cs
8 2 1 1
direct
0.779 0.998 0.858
0.635 0.221 0.142
0.002 0.635 0.142
0.365 0.779 0.858
0.165 0.165 0.506
0.835 0.835 0.494
0.998 0.365 0.858
0.221 0.002 0.142
0.240 0.240 0.281
0.760 0.760 0.719
0.000 0.000 0.000
0.500 0.500 0.500
```

Results
space group: R-3

---

In the order shown, the computed energy relative to the elements, uncorrected values come out to -3.312 -2.655 -2.669 -2.695 -0.644 -0.936 -0.932 -2.313 -2.028 -2.030 -2.055 -2.535 eV/atom.